1.
PuPPbO6: optimized geometry, GGA-PBE.

Results
formation energy from raw total energies: -1966 meV/atom

Cell lengths 5.2957, 5.2957, 5.2899 Å; angles 90.00, 90.00, 120.00 degrees
Last column: nearest neighbours and their distance in Å.
Space group P312 (No. 149)
Inequivalent atoms, fractional coordinates:
Pu (0.0000, 0.0000, 0.0000) (multiplicity 1)  6 O 2.15
P (0.3333, 0.6667, 0.0000) (multiplicity 1)  6 O 1.74
Pb (0.6667, 0.3333, 0.5000) (multiplicity 1)  6 O 2.60
O (0.0721, 0.3902, 0.1891) (multiplicity 6)  1 P 1.74

***

2.
PuP2PbO8: optimized geometry, GGA-PBE.

Results
formation energy from raw total energies: -2298 meV/atom

Cell lengths 5.0040, 5.0040, 22.8837 Å; angles 90.00, 90.00, 120.00 degrees
Last column: nearest neighbours and their distance in Å.
Space group R-3 (No. 148, hexagonal axes)
Inequivalent atoms, fractional coordinates:
Pu (0.0000, 0.0000, 0.0000) (multiplicity 3)  6 O 2.25
P (0.0000, 0.0000, 0.2494) (multiplicity 6)  4 O 1.53-1.56
Pb (0.0000, 0.0000, 0.5000) (multiplicity 3)  12 O 2.91-3.02
O (0.0000, 0.0000, 0.1827) (multiplicity 6)  1 P 1.53
O (0.0013, 0.7076, 0.7269) (multiplicity 18)  1 P 1.56

***

3.
RbP2PbO: optimized geometry, GGA-PBE.

Results
formation energy from raw total energies: 375 meV/atom
relative energy among the computed polymorphs: 0 meV per atom

Cell lengths 5.5446, 5.5446, 4.5150 Å; angles 90.00, 90.00, 90.00 degrees
Last column: nearest neighbours and their distance in Å.
Space group P4/mmm (No. 123)
Inequivalent atoms, fractional coordinates:
Rb (0.0000, 0.0000, 0.0000) (multiplicity 1)  8 P 3.58, 4 O 3.92
P (0.0000, 0.5000, 0.5000) (multiplicity 2)  2 Pb 2.77
Pb (0.5000, 0.5000, 0.5000) (multiplicity 1)  2 O 2.26
O (0.5000, 0.5000, 0.0000) (multiplicity 1)  2 Pb 2.26

***

4.
RbP2PbO: optimized geometry, GGA-PBE.

Results
formation energy from raw total energies: 1334 meV/atom
relative energy among the computed polymorphs: 959 meV per atom

Cell lengths 5.9577, 5.9577, 4.9296 Å; angles 90.00, 90.00, 90.00 degrees
Last column: nearest neighbours and their distance in Å.
Space group P4/mmm (No. 123)
Inequivalent atoms, fractional coordinates:
Rb (0.0000, 0.0000, 0.0000) (multiplicity 1)  2 O 2.46
P (0.0000, 0.5000, 0.0000) (multiplicity 2)  2 Rb 2.98
Pb (0.5000, 0.5000, 0.5000) (multiplicity 1)  8 P 3.87, 4 O 4.21
O (0.0000, 0.0000, 0.5000) (multiplicity 1)  2 Rb 2.46

***

5.
RbPPbO6: optimized geometry, GGA-PBE.

Results
formation energy from raw total energies: -1169 meV/atom

Cell lengths 5.2861, 5.2861, 6.2822 Å; angles 90.00, 90.00, 120.00 degrees
Last column: nearest neighbours and their distance in Å.
Space group P312 (No. 149)
Inequivalent atoms, fractional coordinates:
Rb (0.0000, 0.0000, 0.0000) (multiplicity 1)  6 O 2.93
P (0.6667, 0.3333, 0.5000) (multiplicity 1)  6 O 1.71
Pb (0.3333, 0.6667, 0.5000) (multiplicity 1)  6 O 2.21
O (0.4139, 0.0699, 0.6632) (multiplicity 6)  1 P 1.71

***

6.
Rb3P2PbO8: optimized geometry, GGA-PBE.

Results
formation energy from raw total energies: -1999 meV/atom

Cell lengths 6.0026, 6.0026, 8.1413 Å; angles 90.00, 90.00, 120.00 degrees
Last column: nearest neighbours and their distance in Å.
Space group P-3m1 (No. 164)
Inequivalent atoms, fractional coordinates:
Rb (0.0000, 0.0000, 0.0000) (multiplicity 1)  12 O 3.20-3.50
Rb (0.3333, 0.6667, 0.7180) (multiplicity 2)  7 O 2.77-3.02
P (0.3333, 0.6667, 0.2487) (multiplicity 2)  4 O 1.55-1.56
Pb (0.0000, 0.0000, 0.5000) (multiplicity 1)  6 O 2.52
O (0.1907, 0.3815, 0.3092) (multiplicity 6)  1 P 1.56
O (0.3333, 0.6667, 0.0588) (multiplicity 2)  1 P 1.55

***

7.
Rb2PPbO4: optimized geometry, GGA-PBE.

Results
formation energy from raw total energies: -1748 meV/atom

Cell lengths 6.6794, 6.6794, 7.2757 Å; angles 90.00, 90.00, 90.00 degrees
Last column: nearest neighbours and their distance in Å.
Space group I-4 (No. 82)
Inequivalent atoms, fractional coordinates:
Rb (0.0000, 0.0000, 0.0000) (multiplicity 2)  4 O 2.88
Rb (0.0000, 0.5000, 0.2500) (multiplicity 2)  4 O 3.00
P (0.0000, 0.5000, 0.7500) (multiplicity 2)  4 O 1.57
Pb (0.0000, 0.0000, 0.5000) (multiplicity 2)  4 O 2.63
O (0.1178, 0.3507, 0.6228) (multiplicity 8)  1 P 1.57

***

8.
ReP2PbO: optimized geometry, GGA-PBE.

Results
formation energy from raw total energies: -165 meV/atom
relative energy among the computed polymorphs: 0 meV per atom

Cell lengths 4.8951, 4.8951, 3.7861 Å; angles 90.00, 90.00, 90.00 degrees
Last column: nearest neighbours and their distance in Å.
Space group P4/mmm (No. 123)
Inequivalent atoms, fractional coordinates:
Re (0.0000, 0.0000, 0.0000) (multiplicity 1)  2 O 1.89
P (0.0000, 0.5000, 0.0000) (multiplicity 2)  2 Re 2.45
Pb (0.5000, 0.5000, 0.5000) (multiplicity 1)  8 P 3.09, 4 O 3.46
O (0.0000, 0.0000, 0.5000) (multiplicity 1)  2 Re 1.89

***

In order of appearance, total magnetic moment = 3.00 4.00 3.15 4.99 2.00 1.07 0.96 0.00 μB/f.u..